# RbBaHg6, relaxed, DFT PBE
data_RbBaHg6
_cell_length_a 7.148
_cell_length_b 7.148
_cell_length_c 5.463
_cell_angle_alpha 90.00
_cell_angle_beta 90.00
_cell_angle_gamma 120.00
_space_group_name_H-M_alt 'P 1'
_space_group_IT_number 1
loop_
_space_group_symop_operation_xyz
'x,y,z'
loop_
_atom_site_label
_atom_site_type_symbol
_atom_site_fract_x
_atom_site_fract_y
_atom_site_fract_z
_atom_site_occupancy
Rb1 Rb 0.000 0.000 0.000 1
Ba1 Ba 0.667 0.333 0.500 1
Hg1 Hg 0.032 0.516 0.000 1
Hg2 Hg 0.182 0.363 0.500 1
Hg3 Hg 0.182 0.818 0.500 1
Hg4 Hg 0.484 0.516 0.000 1
Hg5 Hg 0.484 0.968 0.000 1
Hg6 Hg 0.637 0.818 0.500 1
# **SG**: P-6m2, No. 187
# **Final energy**: -0.8807 eV per atom

=====

# DyOs5, relaxed, DFT PBE
data_DyOs5
_cell_length_a 5.221
_cell_length_b 5.221
_cell_length_c 4.393
_cell_angle_alpha 90.00
_cell_angle_beta 90.00
_cell_angle_gamma 120.00
_space_group_name_H-M_alt 'P 1'
_space_group_IT_number 1
loop_
_space_group_symop_operation_xyz
'x,y,z'
loop_
_atom_site_label
_atom_site_type_symbol
_atom_site_fract_x
_atom_site_fract_y
_atom_site_fract_z
_atom_site_occupancy
Dy1 Dy 0.000 0.000 0.000 1
Os1 Os 0.000 0.500 0.500 1
Os2 Os 0.333 0.667 0.000 1
Os3 Os 0.500 0.000 0.500 1
Os4 Os 0.500 0.500 0.500 1
Os5 Os 0.667 0.333 0.000 1
# **SG**: P6/mmm, No. 191
# **Excess energy over the best structure of this formula in the dataset**: 0.0 kJ per mole of atoms
# **ΔE_f**: 250 meV per atom